Record 1
VASP calculation (GGA-PBE) on a geometry-optimized RbHg2Br7 structure.

Summary:
For the density of states at the Fermi level, the calculation gives 2.71 states/eV/cell.

The structure in CIF format:
```
data_RbHg2Br7
_chemical_formula_sum 'Rb2 Hg4 Br14'
_cell_length_a 8.170
_cell_length_b 21.359
_cell_length_c 4.402
_cell_angle_alpha 90.00
_cell_angle_beta 90.00
_cell_angle_gamma 90.00
_space_group_name_H-M_alt 'C m m m'
_space_group_IT_number 65
_space_group_name_Hall '-C 2 2'
loop_
_atom_site_label
_atom_site_type_symbol
_atom_site_fract_x
_atom_site_fract_y
_atom_site_fract_z
Rb1 Rb 0.000 0.000 0.000
Hg1 Hg 0.000 0.325 0.500
Br1 Br 0.000 0.252 0.000
Br2 Br 0.000 0.500 0.500
Br3 Br 0.232 0.102 0.500
```

---

Record 2
VASP calculation (GGA-PBE) on a geometry-optimized RbHg2Br5 structure.

Summary:
For the density of states at the Fermi level, the calculation gives 0.00 states/eV/cell.

The structure in CIF format:
```
data_RbHg2Br5
_chemical_formula_sum 'Rb4 Hg8 Br20'
_cell_length_a 6.439
_cell_length_b 18.304
_cell_length_c 12.532
_cell_angle_alpha 90.00
_cell_angle_beta 90.00
_cell_angle_gamma 90.00
_space_group_name_H-M_alt 'C m c m'
_space_group_IT_number 63
_space_group_name_Hall '-C 2c 2'
loop_
_atom_site_label
_atom_site_type_symbol
_atom_site_fract_x
_atom_site_fract_y
_atom_site_fract_z
Rb1 Rb 0.000 0.096 0.250
Hg1 Hg 0.000 0.208 0.588
Br1 Br 0.000 0.070 0.587
Br2 Br 0.000 0.281 0.094
Br3 Br 0.000 0.309 0.750
```

---

Record 3
VASP calculation (GGA-PBE) on a geometry-optimized RbHgBr4 structure.

Summary:
For the density of states at the Fermi level, the calculation gives 6.25 states/eV/cell.

The structure in CIF format:
```
data_RbHgBr4
_chemical_formula_sum 'Rb4 Hg4 Br16'
_cell_length_a 16.646
_cell_length_b 8.601
_cell_length_c 6.828
_cell_angle_alpha 90.00
_cell_angle_beta 100.58
_cell_angle_gamma 90.00
_space_group_name_H-M_alt 'C 1 2/c 1'
_space_group_IT_number 15
_space_group_name_Hall '-C 2yc'
loop_
_atom_site_label
_atom_site_type_symbol
_atom_site_fract_x
_atom_site_fract_y
_atom_site_fract_z
Rb1 Rb 0.000 0.210 0.250
Hg1 Hg 0.250 0.250 0.000
Br1 Br 0.089 0.176 0.816
Br2 Br 0.197 0.394 0.274
```

---

Record 4
VASP calculation (GGA-PBE) on a geometry-optimized RbHgBr structure.

Summary:
For the density of states at the Fermi level, the calculation gives 0.00 states/eV/cell.

The structure in CIF format:
```
data_RbHgBr
_chemical_formula_sum 'Rb1 Hg1 Br1'
_cell_length_a 5.3079
_cell_length_b 5.3079
_cell_length_c 5.7080
_cell_angle_alpha 90.00
_cell_angle_beta 90.00
_cell_angle_gamma 120.00
_space_group_name_H-M_alt 'P 3 m 1'
_space_group_IT_number 156
_space_group_name_Hall 'P 3 -2"'
loop_
_atom_site_label
_atom_site_type_symbol
_atom_site_fract_x
_atom_site_fract_y
_atom_site_fract_z
Rb1 Rb 0.0000 0.0000 0.0000
Hg1 Hg 0.3333 0.6667 0.4120
Br1 Br 0.6667 0.3333 0.7588
```

---

Record 5
VASP calculation (GGA-PBE) on a geometry-optimized RbHg2Br structure.

Summary:
For the density of states at the Fermi level, the calculation gives 0.00 states/eV/cell.

The structure in CIF format:
```
data_RbHg2Br
_chemical_formula_sum 'Rb4 Hg8 Br4'
_cell_length_a 8.502
_cell_length_b 8.502
_cell_length_c 8.502
_cell_angle_alpha 90.00
_cell_angle_beta 90.00
_cell_angle_gamma 90.00
_space_group_name_H-M_alt 'F m -3 m'
_space_group_IT_number 225
_space_group_name_Hall '-F 4 2 3'
loop_
_atom_site_label
_atom_site_type_symbol
_atom_site_fract_x
_atom_site_fract_y
_atom_site_fract_z
Rb1 Rb 0.000 0.000 0.000
Hg1 Hg 0.250 0.250 0.250
Br1 Br 0.000 0.000 0.500
```

---

Record 6
VASP calculation (GGA-PBE) on a geometry-optimized RbHgBr structure.

The structure in CIF format:
```
data_RbHgBr
_chemical_formula_sum 'Rb4 Hg4 Br4'
_cell_length_a 6.894
_cell_length_b 6.905
_cell_length_c 10.822
_cell_angle_alpha 90.00
_cell_angle_beta 90.64
_cell_angle_gamma 90.00
_space_group_name_H-M_alt 'C 1 2/m 1'
_space_group_IT_number 12
_space_group_name_Hall '-C 2y'
loop_
_atom_site_label
_atom_site_type_symbol
_atom_site_fract_x
_atom_site_fract_y
_atom_site_fract_z
Rb1 Rb 0.248 0.000 0.342
Hg1 Hg 0.250 0.250 0.000
Br1 Br 0.248 0.500 0.337
```

---

Record 7
VASP calculation (GGA-PBE) on a geometry-optimized Rb3Hg2Br8 structure.

Summary:
For the density of states at the Fermi level, the calculation gives 36.45 states/eV/cell.

The structure in CIF format:
```
data_Rb3Hg2Br8
_chemical_formula_sum 'Rb9 Hg6 Br24'
_cell_length_a 7.7491
_cell_length_b 7.7491
_cell_length_c 30.3213
_cell_angle_alpha 90.00
_cell_angle_beta 90.00
_cell_angle_gamma 120.00
_space_group_name_H-M_alt 'R -3 m'
_space_group_IT_number 166
_space_group_name_Hall '-R 3 2"'
loop_
_atom_site_label
_atom_site_type_symbol
_atom_site_fract_x
_atom_site_fract_y
_atom_site_fract_z
Rb1 Rb 0.0000 0.0000 0.0000
Rb2 Rb 0.0000 0.0000 0.2050
Hg1 Hg 0.0000 0.0000 0.4021
Br1 Br 0.0000 0.0000 0.3164
Br2 Br 0.0300 0.5150 0.7704
```

---

Record 8
VASP calculation (GGA-PBE) on a geometry-optimized RbHgBr4 structure.

Summary:
For the density of states at the Fermi level, the calculation gives 18.88 states/eV/cell.

The structure in CIF format:
```
data_RbHgBr4
_chemical_formula_sum 'Rb4 Hg4 Br16'
_cell_length_a 9.427
_cell_length_b 11.231
_cell_length_c 10.707
_cell_angle_alpha 90.00
_cell_angle_beta 114.55
_cell_angle_gamma 90.00
_space_group_name_H-M_alt 'C 1 2/c 1'
_space_group_IT_number 15
_space_group_name_Hall '-C 2yc'
loop_
_atom_site_label
_atom_site_type_symbol
_atom_site_fract_x
_atom_site_fract_y
_atom_site_fract_z
Rb1 Rb 0.000 0.118 0.250
Hg1 Hg 0.000 0.362 0.750
Br1 Br 0.120 0.243 0.604
Br2 Br 0.250 0.016 0.089
```

---

Record 9
VASP calculation (GGA-PBE) on a geometry-optimized RbHg4Br structure.

The structure in CIF format:
```
data_RbHg4Br
_chemical_formula_sum 'Rb4 Hg16 Br4'
_cell_length_a 9.381
_cell_length_b 9.381
_cell_length_c 9.381
_cell_angle_alpha 90.00
_cell_angle_beta 90.00
_cell_angle_gamma 90.00
_space_group_name_H-M_alt 'F -4 3 m'
_space_group_IT_number 216
_space_group_name_Hall 'F -4 2 3'
loop_
_atom_site_label
_atom_site_type_symbol
_atom_site_fract_x
_atom_site_fract_y
_atom_site_fract_z
Rb1 Rb 0.000 0.000 0.000
Hg1 Hg 0.124 0.124 0.376
Br1 Br 0.250 0.250 0.750
```

---

Record 10
VASP calculation (GGA-PBE) on a geometry-optimized Rb3HgBr6 structure.

Summary:
For the density of states at the Fermi level, the calculation gives 15.84 states/eV/cell.

The structure in CIF format:
```
data_Rb3HgBr6
_chemical_formula_sum 'Rb6 Hg2 Br12'
_cell_length_a 8.444
_cell_length_b 8.444
_cell_length_c 11.932
_cell_angle_alpha 90.00
_cell_angle_beta 90.00
_cell_angle_gamma 90.00
_space_group_name_H-M_alt 'I 4/m m m'
_space_group_IT_number 139
_space_group_name_Hall '-I 4 2'
loop_
_atom_site_label
_atom_site_type_symbol
_atom_site_fract_x
_atom_site_fract_y
_atom_site_fract_z
Rb1 Rb 0.000 0.000 0.000
Rb2 Rb 0.000 0.500 0.250
Hg1 Hg 0.000 0.000 0.500
Br1 Br 0.000 0.000 0.269
Br2 Br 0.231 0.231 0.500
```

---

Record 11
VASP calculation (GGA-PBE) on a geometry-optimized Rb12Hg5Br3 structure.

Summary:
For the density of states at the Fermi level, the calculation gives 117.78 states/eV/cell.

The structure in CIF format:
```
data_Rb12Hg5Br3
_chemical_formula_sum 'Rb96 Hg40 Br24'
_cell_length_a 21.253
_cell_length_b 21.253
_cell_length_c 21.253
_cell_angle_alpha 90.00
_cell_angle_beta 90.00
_cell_angle_gamma 90.00
_space_group_name_H-M_alt 'I a -3 d'
_space_group_IT_number 230
_space_group_name_Hall '-I 4bd 2c 3'
loop_
_atom_site_label
_atom_site_type_symbol
_atom_site_fract_x
_atom_site_fract_y
_atom_site_fract_z
Rb1 Rb 0.027 0.086 0.647
Hg1 Hg 0.000 0.000 0.000
Hg2 Hg 0.000 0.250 0.375
Br1 Br 0.000 0.250 0.125
```

---

Record 12
VASP calculation (GGA-PBE) on a geometry-optimized RbHg2Br structure.

Summary:
For the density of states at the Fermi level, the calculation gives 0.11 states/eV/cell.

The structure in CIF format:
```
data_RbHg2Br
_chemical_formula_sum 'Rb1 Hg2 Br1'
_cell_length_a 4.824
_cell_length_b 4.824
_cell_length_c 6.693
_cell_angle_alpha 90.00
_cell_angle_beta 90.00
_cell_angle_gamma 90.00
_space_group_name_H-M_alt 'P 4/m m m'
_space_group_IT_number 123
_space_group_name_Hall '-P 4 2'
loop_
_atom_site_label
_atom_site_type_symbol
_atom_site_fract_x
_atom_site_fract_y
_atom_site_fract_z
Rb1 Rb 0.000 0.000 0.000
Hg1 Hg 0.000 0.500 0.500
Br1 Br 0.500 0.500 0.000
```

---

Record 13
VASP calculation (GGA-PBE) on a geometry-optimized RbHg3Br7 structure.

Summary:
For the density of states at the Fermi level, the calculation gives 0.00 states/eV/cell.

The structure in CIF format:
```
data_RbHg3Br7
_chemical_formula_sum 'Rb2 Hg6 Br14'
_cell_length_a 10.396
_cell_length_b 11.834
_cell_length_c 6.967
_cell_angle_alpha 90.00
_cell_angle_beta 96.09
_cell_angle_gamma 90.00
_space_group_name_H-M_alt 'C 1 2/m 1'
_space_group_IT_number 12
_space_group_name_Hall '-C 2y'
loop_
_atom_site_label
_atom_site_type_symbol
_atom_site_fract_x
_atom_site_fract_y
_atom_site_fract_z
Rb1 Rb 0.000 0.000 0.000
Hg1 Hg 0.000 0.252 0.500
Hg2 Hg 0.000 0.500 0.000
Br1 Br 0.000 0.000 0.500
Br2 Br 0.138 0.278 0.231
Br3 Br 0.163 0.500 0.763
```

---

Record 14
VASP calculation (GGA-PBE) on a geometry-optimized Rb4HgBr5 structure.

Summary:
For the density of states at the Fermi level, the calculation gives 5.26 states/eV/cell.

The structure in CIF format:
```
data_Rb4HgBr5
_chemical_formula_sum 'Rb8 Hg2 Br10'
_cell_length_a 10.939
_cell_length_b 10.939
_cell_length_c 6.826
_cell_angle_alpha 90.00
_cell_angle_beta 90.00
_cell_angle_gamma 90.00
_space_group_name_H-M_alt 'I 4'
_space_group_IT_number 79
_space_group_name_Hall 'I 4'
loop_
_atom_site_label
_atom_site_type_symbol
_atom_site_fract_x
_atom_site_fract_y
_atom_site_fract_z
Rb1 Rb 0.100 0.299 0.000
Hg1 Hg 0.000 0.000 0.477
Br1 Br 0.000 0.000 0.031
Br2 Br 0.095 0.290 0.500
```

---

Record 15
VASP calculation (GGA-PBE) on a geometry-optimized RbHg2Br2 structure.

Summary:
For the density of states at the Fermi level, the calculation gives 1.44 states/eV/cell.

The structure in CIF format:
```
data_RbHg2Br2
_chemical_formula_sum 'Rb2 Hg4 Br4'
_cell_length_a 9.379
_cell_length_b 9.379
_cell_length_c 5.497
_cell_angle_alpha 90.00
_cell_angle_beta 90.00
_cell_angle_gamma 90.00
_space_group_name_H-M_alt 'P 4/m b m'
_space_group_IT_number 127
_space_group_name_Hall '-P 4 2ab'
loop_
_atom_site_label
_atom_site_type_symbol
_atom_site_fract_x
_atom_site_fract_y
_atom_site_fract_z
Rb1 Rb 0.000 0.000 0.000
Hg1 Hg 0.107 0.393 0.500
Br1 Br 0.197 0.303 0.000
```

---

Record 16
VASP calculation (GGA-PBE) on a geometry-optimized RbHg2Br2 structure.

Summary:
For the density of states at the Fermi level, the calculation gives 3.95 states/eV/cell.

The structure in CIF format:
```
data_RbHg2Br2
_chemical_formula_sum 'Rb2 Hg4 Br4'
_cell_length_a 5.940
_cell_length_b 5.940
_cell_length_c 10.284
_cell_angle_alpha 90.00
_cell_angle_beta 90.00
_cell_angle_gamma 90.00
_space_group_name_H-M_alt 'I 4/m m m'
_space_group_IT_number 139
_space_group_name_Hall '-I 4 2'
loop_
_atom_site_label
_atom_site_type_symbol
_atom_site_fract_x
_atom_site_fract_y
_atom_site_fract_z
Rb1 Rb 0.000 0.000 0.000
Hg1 Hg 0.000 0.000 0.363
Br1 Br 0.000 0.500 0.250
```

---

Record 17
VASP calculation (GGA-PBE) on a geometry-optimized Rb2Hg3Br8 structure.

Summary:
For the density of states at the Fermi level, the calculation gives 0.00 states/eV/cell.

The structure in CIF format:
```
data_Rb2Hg3Br8
_chemical_formula_sum 'Rb4 Hg6 Br16'
_cell_length_a 15.764
_cell_length_b 10.943
_cell_length_c 6.766
_cell_angle_alpha 90.00
_cell_angle_beta 108.19
_cell_angle_gamma 90.00
_space_group_name_H-M_alt 'C 1 2/m 1'
_space_group_IT_number 12
_space_group_name_Hall '-C 2y'
loop_
_atom_site_label
_atom_site_type_symbol
_atom_site_fract_x
_atom_site_fract_y
_atom_site_fract_z
Rb1 Rb 0.221 0.000 0.029
Hg1 Hg 0.000 0.185 0.500
Hg2 Hg 0.000 0.500 0.000
Br1 Br 0.104 0.272 0.845
Br2 Br 0.108 0.000 0.413
Br3 Br 0.138 0.500 0.304
```

---

Record 18
VASP calculation (GGA-PBE) on a geometry-optimized RbHg5Br11 structure.

Summary:
For the density of states at the Fermi level, the calculation gives 0.00 states/eV/cell.

The structure in CIF format:
```
data_RbHg5Br11
_chemical_formula_sum 'Rb2 Hg10 Br22'
_cell_length_a 12.370
_cell_length_b 16.237
_cell_length_c 7.243
_cell_angle_alpha 90.00
_cell_angle_beta 118.25
_cell_angle_gamma 90.00
_space_group_name_H-M_alt 'C 1 2/m 1'
_space_group_IT_number 12
_space_group_name_Hall '-C 2y'
loop_
_atom_site_label
_atom_site_type_symbol
_atom_site_fract_x
_atom_site_fract_y
_atom_site_fract_z
Rb1 Rb 0.000 0.000 0.000
Hg1 Hg 0.000 0.500 0.000
Hg2 Hg 0.188 0.152 0.663
Br1 Br 0.000 0.000 0.500
Br2 Br 0.081 0.204 0.297
Br3 Br 0.137 0.500 0.388
Br4 Br 0.201 0.377 0.955
```

---

Record 19
VASP calculation (GGA-PBE) on a geometry-optimized RbHg2Br structure.

Summary:
For the density of states at the Fermi level, the calculation gives 0.00 states/eV/cell.

The structure in CIF format:
```
data_RbHg2Br
_chemical_formula_sum 'Rb4 Hg8 Br4'
_cell_length_a 10.065
_cell_length_b 10.065
_cell_length_c 6.627
_cell_angle_alpha 90.00
_cell_angle_beta 90.00
_cell_angle_gamma 90.00
_space_group_name_H-M_alt 'I -4 2 d'
_space_group_IT_number 122
_space_group_name_Hall 'I -4 2bw'
loop_
_atom_site_label
_atom_site_type_symbol
_atom_site_fract_x
_atom_site_fract_y
_atom_site_fract_z
Rb1 Rb 0.000 0.000 0.000
Hg1 Hg 0.229 0.250 0.625
Br1 Br 0.000 0.000 0.500
```

---

Summary of ΔE_f (raw) in eV/atom
-0.484, -0.732, -0.724, -1.011, -0.638, -1.099, -0.958, -0.688, -0.446, -1.042, -0.443, -0.775, -0.670, -1.400, -0.679, -0.704, -0.861, -0.598, -0.679
(order as listed above)
Summary of density in g/cm3
4.52, 3.99, 4.19, 4.36, 6.12, 4.72, 4.10, 3.90, 7.79, 3.66, 3.14, 6.04, 4.86, 3.83, 4.44, 5.92, 4.23, 5.10, 5.61
(order as listed above)